Entry 1:
## Ti2PdPt2 (GGA-PBEsol)

Data for a relaxed structure of Ti2PdPt2.

Results
**Density of states at the Fermi level**: 5.77 states/eV per cell
**Calculated volume**: 155.8 Å³/cell
**Energy relative to the elements**: -0.7777 eV/atom

Cell and atoms, written as POSCAR:
```
Ti2PdPt2
1.0
7.3019 0.0000 0.0000
0.0000 7.3019 0.0000
0.0000 0.0000 2.9223
Ti Pd Pt
4 2 4
Direct
0.1676 0.3324 0.0000
0.3324 0.8324 0.0000
0.6676 0.1676 0.0000
0.8324 0.6676 0.0000
0.0000 0.0000 0.5000
0.5000 0.5000 0.5000
0.1334 0.6334 0.5000
0.3666 0.1334 0.5000
0.6334 0.8666 0.5000
0.8666 0.3666 0.5000
```

=====

Entry 2:
## Rb2AgBr3 (GGA-PBEsol)

Data for a relaxed structure of Rb2AgBr3.

Results
**Uncorrected formation energy**: -1.266 eV per atom
**Density of states at the Fermi level**: 0.00 states/eV per cell
**Calculated volume**: 806.6 Å³/cell

Cell and atoms, written as POSCAR:
```
Rb2AgBr3
1.0
9.5244 0.0000 0.0000
0.0000 4.5823 0.0000
0.0000 0.0000 18.4809
Rb Ag Br
8 4 12
Direct
0.0775 0.2500 0.2130
0.2501 0.2500 0.9584
0.2499 0.7500 0.4584
0.4225 0.7500 0.7130
0.5775 0.2500 0.2870
0.7501 0.2500 0.5416
0.7499 0.7500 0.0416
0.9225 0.7500 0.7870
0.1326 0.2500 0.6345
0.3674 0.7500 0.1345
0.6326 0.2500 0.8655
0.8674 0.7500 0.3655
0.0016 0.7500 0.5999
0.1175 0.7500 0.0717
0.1873 0.2500 0.7760
0.3127 0.7500 0.2760
0.3825 0.2500 0.5717
0.4984 0.2500 0.0999
0.5016 0.7500 0.9001
0.6175 0.7500 0.4283
0.6873 0.2500 0.7240
0.8127 0.7500 0.2240
0.8825 0.2500 0.9283
0.9984 0.2500 0.4001
```

=====

Entry 3:
## NbGaO2 (GGA-PBEsol)

Data for a relaxed structure of NbGaO2.

Results
**Uncorrected formation energy**: -1.416 eV per atom
**Density of states at the Fermi level**: 1.36 states/eV per cell
**Calculated volume**: 47.0 Å³/cell

Cell and atoms, written as POSCAR:
```
NbGaO2
1.0
1.4593 0.8425 6.3726
-1.4593 0.8425 6.3726
0.0000 -1.6850 6.3726
Nb Ga O
1 1 2
Direct
0.0000 0.0000 0.0000
0.5000 0.5000 0.5000
0.1117 0.1117 0.1117
0.8883 0.8883 0.8883
```

=====

Entry 4:
## Zr5Sn3 (GGA-PBEsol)

Data for a relaxed structure of Zr5Sn3.

Results
**Density of states at the Fermi level**: 8.46 states/eV per cell
**Calculated volume**: 352.2 Å³/cell
**Energy relative to the elements**: -0.6273 eV/atom

Cell and atoms, written as POSCAR:
```
Zr5Sn3
1.0
8.4282 0.0000 0.0000
-4.2141 7.2990 0.0000
0.0000 0.0000 5.7255
Zr Sn
10 6
Direct
0.0000 0.2472 0.2500
0.0000 0.7528 0.7500
0.2472 0.0000 0.2500
0.2472 0.2472 0.7500
0.3333 0.6667 0.0000
0.3333 0.6667 0.5000
0.6667 0.3333 0.0000
0.6667 0.3333 0.5000
0.7528 0.0000 0.7500
0.7528 0.7528 0.2500
0.0000 0.3921 0.7500
0.0000 0.6079 0.2500
0.3921 0.0000 0.7500
0.3921 0.3921 0.2500
0.6079 0.0000 0.2500
0.6079 0.6079 0.7500
```

=====

Entry 5:
## Cr2Ag (GGA-PBEsol)

Data for a relaxed structure of Cr2Ag.

Results
**Density of states at the Fermi level**: 4.37 states/eV per cell
**Calculated volume**: 39.4 Å³/cell
**Energy relative to the elements**: 0.6301 eV/atom

Cell and atoms, written as POSCAR:
```
Cr2Ag
1.0
2.5796 0.0000 0.0000
-1.2898 2.2340 0.0000
0.0000 0.0000 6.8326
Cr Ag
2 1
Direct
0.3333 0.6667 0.1535
0.6667 0.3333 0.8465
0.0000 0.0000 0.5000
```

=====

Entry 6:
## NaTi2Al5O12 (GGA-PBEsol)

Data for a relaxed structure of NaTi2Al5O12.

Results
**Uncorrected formation energy**: -2.986 eV per atom
**Density of states at the Fermi level**: 0.00 states/eV per cell
**Calculated volume**: 407.9 Å³/cell

Cell and atoms, written as POSCAR:
```
NaTi2Al5O12
1.0
9.0887 0.0000 0.0000
0.0000 15.3798 0.0000
0.0000 0.0000 2.9179
Na Ti Al O
2 4 10 24
Direct
0.0000 0.0000 0.0000
0.5000 0.5000 0.0000
0.2328 0.3570 0.0000
0.2672 0.8570 0.0000
0.7328 0.1430 0.0000
0.7672 0.6430 0.0000
0.0000 0.5000 0.5000
0.0132 0.1984 0.5000
0.1882 0.6469 0.0000
0.3118 0.1469 0.0000
0.4868 0.6984 0.5000
0.5000 0.0000 0.5000
0.5132 0.3016 0.5000
0.6882 0.8531 0.0000
0.8118 0.3531 0.0000
0.9868 0.8016 0.5000
0.1050 0.7530 0.0000
0.1074 0.4491 0.0000
0.1165 0.1472 0.0000
0.1319 0.5938 0.5000
0.1317 0.8947 0.5000
0.1417 0.2945 0.5000
0.3583 0.7945 0.5000
0.3681 0.0938 0.5000
0.3683 0.3947 0.5000
0.3835 0.6472 0.0000
0.3926 0.9491 0.0000
0.3950 0.2530 0.0000
0.6050 0.7470 0.0000
0.6074 0.0509 0.0000
0.6165 0.3528 0.0000
0.6317 0.6053 0.5000
0.6319 0.9062 0.5000
0.6417 0.2055 0.5000
0.8583 0.7055 0.5000
0.8683 0.1053 0.5000
0.8681 0.4062 0.5000
0.8835 0.8528 0.0000
0.8926 0.5509 0.0000
0.8950 0.2470 0.0000
```

=====

Entry 7:
## In2TcSe (GGA-PBEsol)

Data for a relaxed structure of In2TcSe.

Results
**Uncorrected formation energy**: -0.062 eV per atom
**Density of states at the Fermi level**: 1.76 states/eV per cell
**Calculated volume**: 80.8 Å³/cell

Cell and atoms, written as POSCAR:
```
In2TcSe
1.0
3.0694 0.0000 0.0000
0.0000 3.0694 0.0000
0.0000 0.0000 8.5724
In Tc Se
2 1 1
Direct
0.0000 0.0000 0.0000
0.5000 0.5000 0.2969
0.5000 0.5000 0.7685
0.0000 0.0000 0.6214
```

=====

Entry 8:
## InTe2P (GGA-PBEsol)

Data for a relaxed structure of InTe2P.

Results
**Uncorrected formation energy**: 0.323 eV per atom
**Density of states at the Fermi level**: 2.09 states/eV per cell
**Calculated volume**: 115.0 Å³/cell

Cell and atoms, written as POSCAR:
```
InTe2P
1.0
-1.9793 1.9793 7.3385
1.9793 -1.9793 7.3385
1.9793 1.9793 -7.3385
In Te P
1 2 1
Direct
0.0000 0.0000 0.0000
0.2500 0.7500 0.5000
0.5000 0.5000 0.0000
0.7500 0.2500 0.5000
```

=====

Entry 9:
## MgSc2N (GGA-PBEsol)

Data for a relaxed structure of MgSc2N.

Results
**Uncorrected formation energy**: -0.904 eV per atom
**Density of states at the Fermi level**: 3.35 states/eV per cell
**Calculated volume**: 73.7 Å³/cell

Cell and atoms, written as POSCAR:
```
MgSc2N
1.0
1.5882 0.9170 8.4390
-1.5882 0.9170 8.4390
0.0000 -1.8339 8.4390
Mg Sc N
1 2 1
Direct
0.0000 0.0000 0.0000
0.1201 0.1201 0.1201
0.8799 0.8799 0.8799
0.5000 0.5000 0.5000
```

=====

Entry 10:
## TiRh3Pb (GGA-PBEsol)

Data for a relaxed structure of TiRh3Pb.

Results
**Density of states at the Fermi level**: 6.57 states/eV per cell
**Calculated volume**: 111.3 Å³/cell
**Energy relative to the elements**: 1.4856 eV/atom

Cell and atoms, written as POSCAR:
```
TiRh3Pb
1.0
4.8099 0.0000 0.0000
0.0000 4.8099 0.0000
0.0000 0.0000 4.8099
Ti Rh Pb
1 3 1
Direct
0.0000 0.0000 0.0000
0.0000 0.5000 0.5000
0.5000 0.0000 0.5000
0.5000 0.5000 0.0000
0.5000 0.5000 0.5000
```

=====

Entry 11:
## AlPtI2O (GGA-PBEsol)

Data for a relaxed structure of AlPtI2O.

Results
**Uncorrected formation energy**: 0.017 eV per atom
**Density of states at the Fermi level**: 2.71 states/eV per cell
**Calculated volume**: 119.8 Å³/cell

Cell and atoms, written as POSCAR:
```
AlPtI2O
1.0
5.6128 0.0000 0.0000
0.0000 5.6128 0.0000
0.0000 0.0000 3.8036
Al Pt I O
1 1 2 1
Direct
0.0000 0.0000 0.0000
0.5000 0.5000 0.5000
0.0000 0.5000 0.5000
0.5000 0.0000 0.5000
0.5000 0.5000 0.0000
```

=====

Entry 12:
## Ca2H2Pd (GGA-PBEsol)

Data for a relaxed structure of Ca2H2Pd.

Results
**DFT total energy**: -0.143 Ha/atom
**Density of states at the Fermi level**: 0.52 states/eV per cell
**Calculated volume**: 79.0 Å³/cell

Cell and atoms, written as POSCAR:
```
Ca2H2Pd
1.0
-1.7904 1.7904 6.1647
1.7904 -1.7904 6.1647
1.7904 1.7904 -6.1647
Ca H Pd
2 2 1
Direct
0.1425 0.1425 0.0000
0.8575 0.8575 0.0000
0.2500 0.7500 0.5000
0.7500 0.2500 0.5000
0.5000 0.5000 0.0000
```

=====

Entry 13:
## Cr2Rh3 (GGA-PBEsol)

Data for a relaxed structure of Cr2Rh3.

Results
**Density of states at the Fermi level**: 4.37 states/eV per cell
**Calculated volume**: 63.2 Å³/cell
**Energy relative to the elements**: -0.0250 eV/atom

Cell and atoms, written as POSCAR:
```
Cr2Rh3
1.0
1.3119 0.7574 10.6042
-1.3119 0.7574 10.6042
0.0000 -1.5149 10.6042
Cr Rh
2 3
Direct
0.1000 0.1000 0.1000
0.9000 0.9000 0.9000
0.2964 0.2964 0.2964
0.5000 0.5000 0.5000
0.7036 0.7036 0.7036
```

=====

Entry 14:
## LiMg2Zn2 (GGA-PBEsol)

Data for a relaxed structure of LiMg2Zn2.

Results
**Density of states at the Fermi level**: 1.80 states/eV per cell
**Calculated volume**: 103.6 Å³/cell
**Energy relative to the elements**: 0.0875 eV/atom

Cell and atoms, written as POSCAR:
```
LiMg2Zn2
1.0
-2.0927 2.0927 5.9143
2.0927 -2.0927 5.9143
2.0927 2.0927 -5.9143
Li Mg Zn
1 2 2
Direct
0.0000 0.0000 0.0000
0.2500 0.7500 0.5000
0.7500 0.2500 0.5000
0.4003 0.4003 0.0000
0.5997 0.5997 0.0000
```

=====

Entry 15:
## La3Ag4Sn4 (GGA-PBEsol)

Data for a relaxed structure of La3Ag4Sn4.

Results
**Density of states at the Fermi level**: 3.03 states/eV per cell
**Calculated volume**: 266.7 Å³/cell
**Energy relative to the elements**: -0.6201 eV/atom

Cell and atoms, written as POSCAR:
```
La3Ag4Sn4
1.0
-2.3463 3.6592 7.7658
2.3463 -3.6592 7.7658
2.3463 3.6592 -7.7658
La Ag Sn
3 4 4
Direct
0.0000 0.0000 0.0000
0.3690 0.8690 0.5000
0.6310 0.1310 0.5000
0.0234 0.3312 0.6923
0.3611 0.6688 0.6923
0.6389 0.3312 0.3077
0.9766 0.6688 0.3077
0.2163 0.2163 0.0000
0.3063 0.5000 0.8063
0.6937 0.5000 0.1937
0.7837 0.7837 0.0000
```

=====

Entry 16:
## Li2CaAl (GGA-PBEsol)

Data for a relaxed structure of Li2CaAl.

Results
**Density of states at the Fermi level**: 1.96 states/eV per cell
**Calculated volume**: 89.2 Å³/cell
**Energy relative to the elements**: -0.0388 eV/atom

Cell and atoms, written as POSCAR:
```
Li2CaAl
1.0
-2.3159 2.3159 4.1565
2.3159 -2.3159 4.1565
2.3159 2.3159 -4.1565
Li Ca Al
2 1 1
Direct
0.0000 0.0000 0.0000
0.7500 0.2500 0.5000
0.2500 0.7500 0.5000
0.5000 0.5000 0.0000
```

=====

Entry 17:
## ZnAg2Rh (GGA-PBEsol)

Data for a relaxed structure of ZnAg2Rh.

Results
**Density of states at the Fermi level**: 1.75 states/eV per cell
**Calculated volume**: 59.7 Å³/cell
**Energy relative to the elements**: 0.0343 eV/atom

Cell and atoms, written as POSCAR:
```
ZnAg2Rh
1.0
-1.5210 2.2453 4.3728
1.5210 -2.2453 4.3728
1.5210 2.2453 -4.3728
Zn Ag Rh
1 2 1
Direct
0.0000 0.0000 0.0000
0.2415 0.7415 0.5000
0.5065 0.5065 0.0000
0.7718 0.2718 0.5000
```

=====

Entry 18:
## Na2Ag2As (GGA-PBEsol)

Data for a relaxed structure of Na2Ag2As.

Results
**Density of states at the Fermi level**: 2.70 states/eV per cell
**Calculated volume**: 105.0 Å³/cell
**Energy relative to the elements**: 0.4093 eV/atom

Cell and atoms, written as POSCAR:
```
Na2Ag2As
1.0
-1.9284 1.9284 7.0606
1.9284 -1.9284 7.0606
1.9284 1.9284 -7.0606
Na Ag As
2 2 1
Direct
0.2500 0.7500 0.5000
0.7500 0.2500 0.5000
0.0913 0.0913 0.0000
0.9087 0.9087 0.0000
0.5000 0.5000 0.0000
```

=====

Entry 19:
## TlHg2PW (GGA-PBEsol)

Data for a relaxed structure of TlHg2PW.

Results
**Density of states at the Fermi level**: 4.25 states/eV per cell
**Calculated volume**: 116.9 Å³/cell
**Energy relative to the elements**: 0.8774 eV/atom

Cell and atoms, written as POSCAR:
```
TlHg2PW
1.0
5.0619 0.0000 0.0000
0.0000 5.0619 0.0000
0.0000 0.0000 4.5612
Tl Hg P W
1 2 1 1
Direct
0.0000 0.0000 0.0000
0.0000 0.5000 0.5000
0.5000 0.0000 0.5000
0.5000 0.5000 0.5000
0.5000 0.5000 0.0000
```

=====

Entry 20:
## TiAs2SeF (GGA-PBEsol)

Data for a relaxed structure of TiAs2SeF.

Results
**Uncorrected formation energy**: 0.012 eV per atom
**Density of states at the Fermi level**: 3.84 states/eV per cell
**Calculated volume**: 88.2 Å³/cell

Cell and atoms, written as POSCAR:
```
TiAs2SeF
1.0
4.1926 0.0000 0.0000
0.0000 4.1926 0.0000
0.0000 0.0000 5.0189
Ti As Se F
1 2 1 1
Direct
0.0000 0.0000 0.0000
0.0000 0.5000 0.5000
0.5000 0.0000 0.5000
0.5000 0.5000 0.0000
0.5000 0.5000 0.5000
```